1.
# PtSeBr (GGA-PBE, relaxed)
# Formation energy (no corrections): 0.06 eV/atom
# E: -3.672 eV per atom
data_PtSeBr
_chemical_formula_sum 'Pt2 Se2 Br2'
_space_group_name_H-M_alt 'I 4 m m'
_space_group_IT_number 107
_space_group_name_Hall 'I 4 -2'
_cell_length_a 3.612
_cell_length_b 3.612
_cell_length_c 11.309
_cell_angle_alpha 90.00
_cell_angle_beta 90.00
_cell_angle_gamma 90.00
loop_
_atom_site_label
_atom_site_fract_x
_atom_site_fract_y
_atom_site_fract_z
Pt1 0.000 0.000 0.000
Se1 0.000 0.000 0.537
Br1 0.000 0.000 0.775



2.
# ZnNi2 (GGA-PBE, relaxed)
# E: -4.414 eV per atom
# Energy of formation from the pure elements: -0.135 eV/atom
data_ZnNi2
_chemical_formula_sum 'Zn2 Ni4'
_space_group_name_H-M_alt 'I 4/m m m'
_space_group_IT_number 139
_space_group_name_Hall '-I 4 2'
_cell_length_a 2.595
_cell_length_b 2.595
_cell_length_c 10.380
_cell_angle_alpha 90.00
_cell_angle_beta 90.00
_cell_angle_gamma 90.00
loop_
_atom_site_label
_atom_site_fract_x
_atom_site_fract_y
_atom_site_fract_z
Zn1 0.000 0.000 0.000
Ni1 0.000 0.000 0.330



3.
# P2RhSO (GGA-PBE, relaxed)
# Formation energy (no corrections): 1.05 eV/atom
# E: -4.397 eV per atom
# Relative energy among the computed polymorphs: 3.17 eV per formula unit
data_P2RhSO
_chemical_formula_sum 'P2 Rh1 S1 O1'
_space_group_name_H-M_alt 'P 4/m m m'
_space_group_IT_number 123
_space_group_name_Hall '-P 4 2'
_cell_length_a 4.491
_cell_length_b 4.491
_cell_length_c 4.887
_cell_angle_alpha 90.00
_cell_angle_beta 90.00
_cell_angle_gamma 90.00
loop_
_atom_site_label
_atom_site_fract_x
_atom_site_fract_y
_atom_site_fract_z
P1 0.000 0.500 0.000
Rh1 0.000 0.000 0.000
S1 0.000 0.000 0.500
O1 0.500 0.500 0.500



4.
# Mg2Zn6Ag3 (GGA-PBE, relaxed)
# E: -1.751 eV per atom
# Energy of formation from the pure elements: 0.011 eV/atom
data_Mg2Zn6Ag3
_chemical_formula_sum 'Mg2 Zn6 Ag3'
_space_group_name_H-M_alt 'P -6 2 m'
_space_group_IT_number 189
_space_group_name_Hall 'P -6 -2'
_cell_length_a 7.4560
_cell_length_b 7.4560
_cell_length_c 4.1655
_cell_angle_alpha 90.00
_cell_angle_beta 90.00
_cell_angle_gamma 120.00
loop_
_atom_site_label
_atom_site_fract_x
_atom_site_fract_y
_atom_site_fract_z
Mg1 0.3333 0.6667 0.0000
Zn1 0.0000 0.2078 0.0000
Zn2 0.0000 0.7715 0.5000
Ag1 0.0000 0.4273 0.5000